# 1
Material: Sc4AgPdAu2
Method: DFT, PBE
State: relaxed

Raw total energy = -45.5 eV per cell
Energy of formation = -0.700 eV per atom
Crystal system = trigonal
Total moment = 0.00 μB per formula unit

a b c (Å): 4.7840 4.7840 8.3144
angles (deg): 73.28 73.28 60.00
With the nearest neighbours (Å) after each atom.
Element x y z (fractional)
Sc1 0.6215 0.6215 0.1356  1 Pd 2.86, 4 Au 2.88-2.93, 3 Ag 2.96
Ag1 0.0000 0.0000 0.0000  8 Sc 2.96-3.01
Au1 0.7460 0.7460 0.7620  8 Sc 2.88-2.99
Sc2 0.1280 0.1280 0.6159  3 Pd 2.91, 4 Au 2.96-2.99, 1 Ag 3.01
Pd1 0.5000 0.5000 0.5000  8 Sc 2.86-2.91
Sc3 0.8720 0.8720 0.3841  3 Pd 2.91, 4 Au 2.96-2.99, 1 Ag 3.01
Au2 0.2540 0.2540 0.2380  8 Sc 2.88-2.99
Sc4 0.3785 0.3785 0.8644  1 Pd 2.86, 4 Au 2.88-2.93, 3 Ag 2.96

---

# 2
Material: SiAgPdAu2
Method: DFT, PBE
State: relaxed

Raw total energy = -19.1 eV per cell
E_form (uncorrected) = 0.175 eV per atom
Crystal system = tetragonal
Total moment = 0.00 μB per formula unit

a b c (Å): 4.7045 4.5765 4.7045
angles (deg): 90.00 90.00 90.00
With the nearest neighbours (Å) after each atom.
Element x y z (fractional)
Ag1 0.5000 0.5000 0.5000  8 Au 3.28, 4 Pd 3.33
Si1 0.0000 0.0000 0.0000  2 Pd 2.29, 4 Au 2.35
Pd1 0.0000 0.5000 0.0000  2 Si 2.29
Au1 0.0000 0.0000 0.5000  2 Si 2.35
Au2 0.5000 0.0000 0.0000  2 Si 2.35

---

# 3
Material: SmAgPdAu
Method: DFT, PBE
State: relaxed

Raw total energy = -18.2 eV per cell
Energy of formation = -0.542 eV per atom
Crystal system = tetragonal
Total moment = 0.00 μB per formula unit

a b c (Å): 4.3781 4.3779 5.2186
angles (deg): 114.81 114.80 90.00
With the nearest neighbours (Å) after each atom.
Element x y z (fractional)
Pd1 0.2500 0.7501 0.5000  4 Sm 3.03, 4 Ag 3.03, 4 Au 3.10
Ag1 0.0000 0.0001 0.0000  4 Pd 3.03, 4 Au 3.03, 4 Sm 3.10
Sm1 0.5000 0.4999 0.0000  4 Pd 3.03, 4 Au 3.03, 4 Ag 3.10
Au1 0.7500 0.2499 0.5000  4 Sm 3.03, 4 Ag 3.03, 4 Pd 3.10

---

# 4
Material: SmAgPdAu
Method: DFT, PBE
State: relaxed

Raw total energy = -18.3 eV per cell
Energy of formation = -0.555 eV per atom
Crystal system = cubic
Total moment = 0.00 μB per formula unit

a b c (Å): 4.8868 4.8868 4.8868
angles (deg): 60.00 60.00 60.00
With the nearest neighbours (Å) after each atom.
Element x y z (fractional)
Ag1 0.2500 0.2500 0.2500  4 Pd 2.99, 4 Au 2.99
Au1 0.0000 0.0000 0.0000  4 Ag 2.99, 4 Sm 2.99
Sm1 0.7500 0.7500 0.7500  4 Pd 2.99, 4 Au 2.99
Pd1 0.5000 0.5000 0.5000  4 Sm 2.99, 4 Ag 2.99

---

Q: Which of these has the lowest raw total energy?
A: Sc4AgPdAu2

---

Q: total moment of number 4 (SmAgPdAu)?
A: 0.00 μB per formula unit

---

Q: raw total energy of number 4 (SmAgPdAu)?
A: -18.3 eV per cell